(1)
Computed, not measured: a relaxed structure of AcTiRh2 at the PBE-GGA level of DFT.

Lattice parameters (Å, degrees): 3.274 3.274 7.338 90.00 90.00 90.00
Atoms (fractional coordinates):
Ac: 0.000 0.000 0.000
Ti: 0.000 0.000 0.500
Rh: 0.500 0.500 0.308
Rh: 0.500 0.500 0.692

energy above the lowest structure with this stoichiometry = 119.0 meV per atom
crystal system = tetragonal
magnetic moment = 0.0 Bohr magnetons per cell
total energy = -7.171 eV/atom

---

(2)
Computed, not measured: a relaxed structure of Ac5Tl2Rh2 at the PBE-GGA level of DFT.

Lattice parameters (Å, degrees): 9.345 9.345 9.113 90.00 90.00 49.09
Atoms (fractional coordinates):
Ac: 0.000 0.000 0.000
Ac: 0.033 0.730 0.675
Ac: 0.230 0.533 0.175
Ac: 0.270 0.967 0.675
Ac: 0.467 0.770 0.175
Ac: 0.500 0.500 0.500
Ac: 0.533 0.230 0.825
Ac: 0.730 0.033 0.325
Ac: 0.770 0.467 0.825
Ac: 0.967 0.270 0.325
Tl: 0.214 0.214 0.000
Tl: 0.286 0.286 0.500
Tl: 0.714 0.714 0.500
Tl: 0.786 0.786 0.000
Rh: 0.142 0.858 0.380
Rh: 0.358 0.642 0.880
Rh: 0.642 0.358 0.120
Rh: 0.858 0.142 0.620

crystal system = orthorhombic
magnetic moment = 0.0 Bohr magnetons per cell
total energy = -4.898 eV/atom

---

(3)
Computed, not measured: a relaxed structure of AcTl3Rh at the PBE-GGA level of DFT.

Lattice parameters (Å, degrees): 5.280 5.280 5.280 90.00 90.00 90.00
Atoms (fractional coordinates):
Ac: 0.000 0.000 0.000
Tl: 0.000 0.500 0.500
Tl: 0.500 0.000 0.500
Tl: 0.500 0.500 0.000
Rh: 0.500 0.500 0.500

energy above the lowest structure with this stoichiometry = 100.7 meV per atom
crystal system = cubic
magnetic moment = 0.0 Bohr magnetons per cell
total energy = -3.792 eV/atom

---

(4)
Computed, not measured: a relaxed structure of Ac2TlRh at the PBE-GGA level of DFT.

Lattice parameters (Å, degrees): 4.343 4.343 8.475 90.00 90.00 120.00
Atoms (fractional coordinates):
Ac: 0.333 0.667 0.193
Ac: 0.667 0.333 0.807
Tl: 0.000 0.000 0.500
Rh: 0.000 0.000 0.000

crystal system = trigonal
magnetic moment = 0.0 Bohr magnetons per cell
total energy = -4.999 eV/atom